Computed, not measured: a geometry-optimized CaVRuO6 structure at the GGA+U level of DFT.

Unit cell a=5.1170 b=5.1170 c=10.1171 alpha=90.00 beta=90.00 gamma=120.00
Last column: nearest neighbours and their distance in Å.
Fractional coordinates of all 18 atoms:
1 Ca 0.0000 0.0000 0.0000  6 O 2.40
2 Ca 0.0000 0.0000 0.5000  6 O 2.40
3 V 0.6667 0.3333 0.2500  6 O 1.90
4 V 0.3333 0.6667 0.7500  6 O 1.90
5 Ru 0.3333 0.6667 0.2500  6 O 1.97
6 Ru 0.6667 0.3333 0.7500  6 O 1.97
7 O 0.6335 0.6242 0.1449  1 V 1.90, 1 Ru 1.97
8 O 0.9907 0.3665 0.1449  1 V 1.90, 1 Ru 1.97
9 O 0.3665 0.9907 0.6449  1 V 1.90, 1 Ru 1.97
10 O 0.0093 0.6335 0.8551  1 V 1.90, 1 Ru 1.97
11 O 0.3758 0.3665 0.3551  1 V 1.90, 1 Ru 1.97
12 O 0.9907 0.6242 0.3551  1 V 1.90, 1 Ru 1.97
13 O 0.6242 0.9907 0.8551  1 V 1.90, 1 Ru 1.97
14 O 0.6335 0.0093 0.3551  1 V 1.90, 1 Ru 1.97
15 O 0.0093 0.3758 0.6449  1 V 1.90, 1 Ru 1.97
16 O 0.3758 0.0093 0.1449  1 V 1.90, 1 Ru 1.97
17 O 0.6242 0.6335 0.6449  1 V 1.90, 1 Ru 1.97
18 O 0.3665 0.3758 0.8551  1 V 1.90, 1 Ru 1.97

Properties
Uncorrected energy in eV per atom: -7.156
Calculated density in Mg/m³: 4.17
Calculated volume in Å³/cell: 229.4